Compound: LaPr8Y2
Source: the Alexandria database
Functional: PBE-GGA
Structure: optimized geometry

Calculated values
E_form, eV per atom: 0.1021
Excess energy over the best structure of this formula in the dataset, meV/atom: 0
Space-group type: Immm (71)

Geometry as CIF:
```
data_LaPr8Y2
_symmetry_space_group_name_H-M 'P 1'
_symmetry_Int_Tables_number 1
_cell_length_a 5.777
_cell_length_b 8.427
_cell_length_c 9.612
_cell_angle_alpha 116.00
_cell_angle_beta 107.49
_cell_angle_gamma 90.00
loop_
_symmetry_equiv_pos_as_xyz
'x,y,z'
loop_
_atom_site_label
_atom_site_type_symbol
_atom_site_fract_x
_atom_site_fract_y
_atom_site_fract_z
La1 La 0.500 0.000 0.000
Pr1 Pr 0.638 0.842 0.277
Pr2 Pr 0.362 0.565 0.723
Pr3 Pr 0.163 0.163 0.326
Pr4 Pr 0.000 0.294 0.000
Pr5 Pr 0.837 0.837 0.674
Pr6 Pr 0.638 0.435 0.277
Pr7 Pr 0.362 0.158 0.723
Pr8 Pr 0.000 0.706 0.000
Y1 Y 0.200 0.700 0.400
Y2 Y 0.800 0.300 0.600
```


Compound: Cd2IrSe
Source: the Alexandria database
Functional: PBE-GGA
Structure: optimized geometry

Calculated values
Formation energy from raw total energies, eV per atom: 0.20
Space-group type: Pmmm (47)

Geometry as CIF:
```
data_Cd2IrSe
_symmetry_space_group_name_H-M 'P 1'
_symmetry_Int_Tables_number 1
_cell_length_a 3.625
_cell_length_b 3.515
_cell_length_c 5.996
_cell_angle_alpha 90.00
_cell_angle_beta 90.00
_cell_angle_gamma 90.00
loop_
_symmetry_equiv_pos_as_xyz
'x,y,z'
loop_
_atom_site_label
_atom_site_type_symbol
_atom_site_fract_x
_atom_site_fract_y
_atom_site_fract_z
Cd1 Cd 0.000 0.000 0.013
Cd2 Cd 0.000 0.000 0.487
Ir1 Ir 0.500 0.500 0.250
Se1 Se 0.500 0.500 0.750
```